Density functional theory data (PBE-GGA) for an optimized crystal structure of VTcSn2Br.

Unit cell a=5.315 b=5.315 c=4.455 alpha=90.00 beta=90.00 gamma=90.00
Fractional positions:
V 0.000 0.000 0.000
Tc 0.000 0.000 0.500
Sn 0.000 0.500 0.000
Sn 0.500 0.000 0.000
Br 0.500 0.500 0.500

ΔE_f (raw) = 621 meV per atom

=====

Density functional theory data (PBE-GGA) for an optimized crystal structure of CeZnGaSn.

Unit cell a=5.001 b=5.001 c=5.001 alpha=60.00 beta=60.00 gamma=60.00
Fractional positions:
Ce 0.000 0.000 0.000
Zn 0.250 0.250 0.250
Ga 0.750 0.750 0.750
Sn 0.500 0.500 0.500

formation energy from the elements = -0.2906 eV/atom

=====

Computed values of magnetization (unit: μB per cell) for the preceding records, in sequence: 1.48, 0.74.